YTaAu3 PBE optimized geometry; E_form = 1316 meV/atom
1.0
5.1250 0.0000 0.0000
0.0000 5.1250 0.0000
0.0000 0.0000 5.1250
Au Ta Y
3 1 1
direct
0.0000 0.0000 0.5000 Au
0.0000 0.5000 0.0000 Au
0.5000 0.0000 0.0000 Au
0.5000 0.5000 0.5000 Ta
0.0000 0.0000 0.0000 Y


YTaAu3 PBE optimized geometry; E_form = 339 meV/atom
1.0
-1.7508 -2.7857 -3.8651
-3.2901 -2.2714 3.1274
-3.4459 3.5840 -1.0222
Au Ta Y
3 1 1
direct
0.0000 0.5000 0.0000 Au
0.0000 0.0000 0.5000 Au
0.5000 0.0000 0.0000 Au
0.0000 0.0000 0.0000 Ta
0.5000 0.5000 0.5000 Y


YTaAu PBE optimized geometry; E_form = 1056 meV/atom
1.0
4.7841 0.0000 0.0000
2.3920 4.1431 0.0000
2.3920 1.3810 3.9062
Ta Au Y
1 1 1
direct
0.5000 0.5000 0.5000 Ta
0.0000 0.0000 0.0000 Au
0.7500 0.7500 0.7500 Y


YTaAu PBE optimized geometry; E_form = 364 meV/atom
1.0
4.7095 0.0000 0.0000
2.3547 4.0785 0.0000
2.3547 1.3595 3.8453
Ta Y Au
1 1 1
direct
0.0000 0.0000 0.0000 Ta
0.5000 0.5000 0.5000 Y
0.7500 0.7500 0.7500 Au


YTaAu PBE optimized geometry; E_form = -101 meV/atom
1.0
6.5099 -0.0097 0.0105
5.6940 3.1556 0.0046
0.8159 0.2162 3.1579
Y Ta Au
1 1 1
direct
0.3323 0.3323 0.6677 Y
0.6505 0.6505 0.3495 Ta
0.0172 0.0172 0.9828 Au


YTaAu PBE optimized geometry; E_form = 137 meV/atom
1.0
3.2757 0.0000 0.0000
-1.6378 2.8368 0.0000
0.0000 0.0000 7.0987
Ta Au Y
1 1 1
direct
0.6667 0.3333 0.3163 Ta
0.0000 0.0000 0.0182 Au
0.3333 0.6667 0.6655 Y


Result set for uncorrected energy: -4.31 -5.29 -6.14 -6.83 -7.30 -7.06 eV per atom, one per record in the order listed.
Result set for energy relative to the lowest polymorph listed for this composition: 977.4 0.0 1156.9 465.0 0.0 237.5 meV per atom, one per record in the order listed.
Result set for total magnetization: 0.0 0.0 2.4 0.2 0.0 0.0 μB/f.u., one per record in the order listed.